1.
The following is a GGA-PBE calculation of a relaxed structure of NaHgTe, from Alexandria via LeMat-Bulk.

Cell and atoms, written as extended XYZ:
```
12
Lattice="0.000 5.138 8.731 4.868 0.000 8.731 4.868 5.138 0.000" Properties=species:S:1:pos:R:3 pbc="T T T"
Na 3.651 3.853 0.275
Na 6.085 6.422 4.640
Na 3.651 3.853 12.821
Na 6.085 6.422 17.187
Hg 4.868 2.569 4.365
Hg 2.434 5.138 4.365
Hg 2.434 2.569 8.731
Hg 4.868 5.138 8.731
Te 6.248 3.853 6.548
Te 8.683 6.422 10.913
Te 1.054 3.853 6.548
Te 3.488 6.422 10.913
```

Results
The value obtained for the spin magnetization is 0.00 μB/atom. The value obtained for the energy above the most stable polymorph in this dataset is 36 meV/atom.

2.
The following is a GGA-PBE calculation of a relaxed structure of NaHg2Te3, from Alexandria via LeMat-Bulk.

Cell and atoms, written as extended XYZ:
```
12
Lattice="12.611 -2.203 0.000 12.611 2.203 0.000 -1.028 0.000 7.176" Properties=species:S:1:pos:R:3 pbc="T T T"
Na 3.659 0.000 3.194
Na 20.534 0.000 3.982
Hg 3.738 0.000 6.730
Hg 11.097 0.000 2.006
Hg 13.096 0.000 5.170
Hg 20.455 0.000 0.446
Te 0.946 0.000 7.011
Te 6.586 0.000 1.882
Te 10.135 0.000 4.679
Te 14.058 0.000 2.497
Te 17.607 0.000 5.294
Te 23.246 0.000 0.165
```

Results
The value obtained for the spin magnetization is 0.00 μB/atom. The value obtained for the total energy is -2.13 eV per atom.